{"formula": "La2NdGaN", "functional": "PBE-GGA", "state": "optimized geometry", "cell": [[-0.8826, -0.2313, -4.9420], [4.4117, -2.3548, -0.6777], [-2.2844, -4.4574, 0.6166]], "species": ["La", "La", "N", "Nd", "Ga"], "fractional_positions": [[0.0000, 0.5000, 0.0000], [0.0000, 0.0000, 0.5000], [0.0000, 0.0000, 0.0000], [0.5000, 0.0000, 0.0000], [0.5000, 0.5000, 0.5000]], "spacegroup": "P4/mmm (123)", "dos_ef_per_ev_cell": 2.87, "total_energy_ev_per_atom": -6.02, "m_tot_mub_per_fu": 0.00, "e_form_raw_ev_per_fu": -4.11}



{"formula": "LaNd2GaN4", "functional": "PBE-GGA", "state": "optimized geometry", "cell": [[3.5500, 0.0000, 0.0000], [-1.7750, 5.9687, 0.0000], [0.0000, 0.0000, 12.2342]], "species": ["N", "Nd", "N", "N", "Nd", "La", "N", "N", "N", "Nd", "N", "Ga", "La", "N", "Ga", "Nd"], "fractional_positions": [[0.7297, 0.4593, 0.6282], [0.6311, 0.2622, 0.4551], [0.7297, 0.4593, 0.8718], [0.4354, 0.8708, 0.7500], [0.6311, 0.2622, 0.0449], [0.1045, 0.2089, 0.7500], [0.2703, 0.5407, 0.3718], [0.0000, 0.0000, 0.0000], [0.0000, 0.0000, 0.5000], [0.3689, 0.7378, 0.5449], [0.5646, 0.1292, 0.2500], [0.8336, 0.6672, 0.7500], [0.8955, 0.7911, 0.2500], [0.2703, 0.5407, 0.1282], [0.1664, 0.3328, 0.2500], [0.3689, 0.7378, 0.9551]], "spacegroup": "Cmcm (63)", "total_energy_ev_per_atom": -7.40, "m_tot_mub_per_fu": 0.00, "e_form_raw_ev_per_fu": -8.42}



{"formula": "La2GaNiN", "functional": "PBE-GGA", "state": "optimized geometry", "cell": [[5.2636, 0.0000, 0.0000], [0.0000, 5.2636, 0.0000], [0.0000, 0.0000, 3.7118]], "species": ["La", "Ga", "N", "La", "Ni"], "fractional_positions": [[0.0000, 0.5000, 0.0000], [0.5000, 0.5000, 0.5000], [0.0000, 0.0000, 0.0000], [0.5000, 0.0000, 0.0000], [0.0000, 0.0000, 0.5000]], "spacegroup": "P4/mmm (123)", "dos_ef_per_ev_cell": 4.74, "relative_energy_ev_per_atom": 0.073, "total_energy_ev_per_atom": -6.09, "m_tot_mub_per_fu": 0.00, "e_form_raw_ev_per_fu": -3.46}



{"formula": "LaGaNi2N", "functional": "PBE-GGA", "state": "optimized geometry", "cell": [[-1.8432, 0.0782, -3.2527], [5.0065, -3.1732, -0.7637], [-3.4488, -5.8776, 1.8130]], "species": ["Ni", "N", "Ni", "Ni", "N", "La", "Ni", "La", "Ga", "Ga"], "fractional_positions": [[0.1627, 0.3255, 0.5540], [0.0000, 0.0000, 0.5000], [0.8373, 0.6745, 0.0540], [0.8373, 0.6745, 0.4460], [0.0000, 0.0000, 0.0000], [0.5418, 0.0836, 0.2500], [0.1627, 0.3255, 0.9460], [0.4582, 0.9164, 0.7500], [0.7304, 0.4609, 0.7500], [0.2696, 0.5391, 0.2500]], "spacegroup": "Cmcm (63)", "dos_ef_per_ev_cell": 7.02, "total_energy_ev_per_atom": -6.23, "m_tot_mub_per_fu": 0.00, "e_form_raw_ev_per_fu": -3.29}



{"formula": "La2GaNiN", "functional": "PBE-GGA", "state": "optimized geometry", "cell": [[-0.0648, -3.3962, -1.8867], [1.5131, -3.2335, 5.7687], [-8.5151, 0.5787, -0.7491]], "species": ["La", "Ni", "La", "La", "La", "Ga", "N", "Ga", "N", "Ni"], "fractional_positions": [[0.7500, 0.7872, 0.6182], [0.2500, 0.5391, 0.7544], [0.2500, 0.2132, 0.9658], [0.2500, 0.2128, 0.3818], [0.7500, 0.7868, 0.0342], [0.7500, 0.3177, 0.7023], [0.7500, 0.1609, 0.1676], [0.2500, 0.6823, 0.2977], [0.2500, 0.8391, 0.8324], [0.7500, 0.4609, 0.2456]], "spacegroup": "P2_1/m (11)", "dos_ef_per_ev_cell": 9.22, "relative_energy_ev_per_atom": 0.000, "total_energy_ev_per_atom": -6.16, "m_tot_mub_per_fu": 0.00, "e_form_raw_ev_per_fu": -3.82}



{"formula": "LaPa2GaN5", "functional": "PBE-GGA", "state": "optimized geometry", "cell": [[-1.0155, -0.4563, 6.5306], [0.4815, -6.5960, -0.3860], [5.8853, 3.8837, -2.1737]], "species": ["La", "N", "Ga", "N", "La", "N", "N", "N", "Ga", "Pa", "N", "N", "Pa", "N", "Pa", "N", "Pa", "N"], "fractional_positions": [[0.2500, 0.2500, 0.5000], [0.0000, 0.0000, 0.0000], [0.2500, 0.7500, 0.5000], [0.7127, 0.2127, 0.7309], [0.7500, 0.7500, 0.5000], [0.7873, 0.9818, 0.2691], [0.9818, 0.4818, 0.2691], [0.2127, 0.0182, 0.7309], [0.7500, 0.2500, 0.5000], [0.6763, 0.1763, 0.0000], [0.5000, 0.5000, 0.0000], [0.2873, 0.7873, 0.2691], [0.8237, 0.6763, 0.0000], [0.4818, 0.2873, 0.2691], [0.1763, 0.3237, 0.0000], [0.5182, 0.7127, 0.7309], [0.3237, 0.8237, 0.0000], [0.0182, 0.5182, 0.7309]], "spacegroup": "I4/mcm (140)", "dos_ef_per_ev_cell": 9.02, "total_energy_ev_per_atom": -8.90, "m_tot_mub_per_fu": 0.00, "e_form_raw_ev_per_fu": -11.50}



{"formula": "La2PaGaN5", "functional": "PBE-GGA", "state": "optimized geometry", "cell": [[-1.2115, 0.4006, 3.2657], [-5.9981, -1.7238, -3.8958], [1.7484, -10.4451, 1.9298]], "species": ["La", "N", "La", "N", "La", "N", "Pa", "Ga", "La", "N", "Ga", "N", "N", "N", "N", "N", "Pa", "N"], "fractional_positions": [[0.1260, 0.2520, 0.2968], [0.7015, 0.4030, 0.8720], [0.1096, 0.2192, 0.6939], [0.2985, 0.5970, 0.3720], [0.8740, 0.7480, 0.7968], [0.9505, 0.9009, 0.5435], [0.7907, 0.5814, 0.5051], [0.4920, 0.9839, 0.4727], [0.8904, 0.7808, 0.1939], [0.5031, 0.0062, 0.2896], [0.5080, 0.0161, 0.9727], [0.6342, 0.2685, 0.5094], [0.2847, 0.5694, 0.6409], [0.7153, 0.4306, 0.1409], [0.3658, 0.7315, 0.0094], [0.4969, 0.9938, 0.7896], [0.2093, 0.4186, 0.0051], [0.0495, 0.0991, 0.0435]], "spacegroup": "Cmc2_1 (36)", "dos_ef_per_ev_cell": 13.86, "total_energy_ev_per_atom": -8.17, "m_tot_mub_per_fu": 0.00, "e_form_raw_ev_per_fu": -9.56}



{"formula": "LaGaPdN", "functional": "PBE-GGA", "state": "optimized geometry", "cell": [[-1.4325, 0.6801, -3.6280], [-2.6247, -2.9240, 0.4882], [-6.0005, 5.9686, 3.4881]], "species": ["Pd", "La", "N", "Ga", "La", "Ga", "N", "Pd"], "fractional_positions": [[0.0000, 0.0000, 0.5000], [0.5000, 0.0000, 0.1398], [0.0000, 0.5000, 0.1157], [0.5000, 0.0000, 0.6693], [0.0000, 0.5000, 0.8602], [0.0000, 0.5000, 0.3307], [0.5000, 0.0000, 0.8843], [0.5000, 0.5000, 0.5000]], "spacegroup": "P4/nmm (129)", "dos_ef_per_ev_cell": 2.91, "total_energy_ev_per_atom": -6.32, "m_tot_mub_per_fu": 0.00, "e_form_raw_ev_per_fu": -3.81}